[1]
# ErGaNiPd

ErGaNiPd after structural relaxation (PBE-GGA, the Open Quantum Materials Database).

Lattice parameters (Å, degrees): 4.2623 4.2623 8.8653 90.00 90.00 120.00
Positions (direct):
Er: 0.3333 0.6667 0.2624
Er: 0.6667 0.3333 0.7376
Ga: 0.0000 0.0000 0.0000
Ga: 0.0000 0.0000 0.5000
Ni: 0.3333 0.6667 0.5680
Ni: 0.6667 0.3333 0.4320
Pd: 0.3333 0.6667 0.9106
Pd: 0.6667 0.3333 0.0894

Summary:
E above lowest polymorph = 0 meV per atom
total moment = 0.0 μB/f.u.


[2]
# Er2Ga2NiPt3

Er2Ga2NiPt3 after structural relaxation (PBE-GGA, the Open Quantum Materials Database).

Lattice parameters (Å, degrees): 4.3293 4.3293 8.9374 90.00 90.00 120.00
Positions (direct):
Er: 0.0000 0.0000 0.0000
Er: 0.3333 0.6667 0.4926
Ga: 0.6667 0.3333 0.2526
Ga: 0.6667 0.3333 0.7447
Ni: 0.0000 0.0000 0.3245
Pt: 0.0000 0.0000 0.6495
Pt: 0.3333 0.6667 0.1713
Pt: 0.3333 0.6667 0.8326

Summary:
total energy = -5.82 eV/atom
total moment = 0.0 μB/f.u.


[3]
# Er3GaNiS7

Er3GaNiS7 after structural relaxation (PBE-GGA, the Open Quantum Materials Database).

Lattice parameters (Å, degrees): 9.4724 9.4724 6.1540 90.00 90.00 120.00
Positions (direct):
Er: 0.1570 0.7816 0.0000
Er: 0.2184 0.3754 0.0000
Er: 0.3754 0.1570 0.5000
Er: 0.6246 0.8430 0.0000
Er: 0.7816 0.6246 0.5000
Er: 0.8430 0.2184 0.5000
Ga: 0.3333 0.6667 0.5711
Ga: 0.6667 0.3333 0.0711
Ni: 0.0000 0.0000 0.1715
Ni: 0.0000 0.0000 0.6715
S: 0.0847 0.5200 0.7323
S: 0.1023 0.8688 0.4072
S: 0.1312 0.2335 0.4072
S: 0.2335 0.1023 0.9072
S: 0.3333 0.6667 0.2045
S: 0.4353 0.9153 0.7323
S: 0.4800 0.5647 0.7323
S: 0.5200 0.4353 0.2323
S: 0.5647 0.0847 0.2323
S: 0.6667 0.3333 0.7045
S: 0.7665 0.8977 0.4072
S: 0.8688 0.7665 0.9072
S: 0.8977 0.1312 0.9072
S: 0.9153 0.4800 0.2323

Summary:
total energy = -5.71 eV/atom
total moment = 2.0 μB/f.u.


[4]
# Er4GaSi4Ni2

Er4GaSi4Ni2 after structural relaxation (PBE-GGA, the Open Quantum Materials Database).

Lattice parameters (Å, degrees): 7.7591 7.7591 6.7919 107.63 107.63 31.00
Positions (direct):
Er: 0.0873 0.0873 0.3826
Er: 0.1529 0.1529 0.9399
Er: 0.8471 0.8471 0.0601
Er: 0.9127 0.9127 0.6174
Ga: 0.5000 0.5000 0.0000
Si: 0.2948 0.2948 0.7254
Si: 0.4365 0.4365 0.3406
Si: 0.5635 0.5635 0.6594
Si: 0.7052 0.7052 0.2746
Ni: 0.2838 0.2838 0.3587
Ni: 0.7162 0.7162 0.6413

Summary:
total energy = -5.72 eV/atom
total moment = 0.0 μB/f.u.


[5]
# ErTm2Ga3Si2Ni

ErTm2Ga3Si2Ni after structural relaxation (PBE-GGA, the Open Quantum Materials Database).

Lattice parameters (Å, degrees): 4.1116 6.8096 6.8096 120.07 90.00 90.00
Positions (direct):
Er: 0.0000 0.0000 0.0000
Tm: 0.0000 0.1916 0.5957
Tm: 0.0000 0.5957 0.1916
Ga: 0.5000 0.3583 0.3583
Ga: 0.5000 0.5951 0.8326
Ga: 0.5000 0.8326 0.5951
Si: 0.5000 0.2630 0.9285
Si: 0.5000 0.9285 0.2630
Ni: 0.0000 0.5945 0.5945

Summary:
total energy = -5.02 eV/atom
total moment = 0.0 μB/f.u.


[6]
# TbErGa4Ni2

TbErGa4Ni2 after structural relaxation (PBE-GGA, the Open Quantum Materials Database).

Lattice parameters (Å, degrees): 6.6988 4.0796 10.0539 90.00 90.00 90.00
Positions (direct):
Tb: 0.0000 0.0000 0.0000
Tb: 0.0000 0.5000 0.5000
Er: 0.5000 0.0000 0.8629
Er: 0.5000 0.5000 0.3629
Ga: 0.1972 0.0000 0.2860
Ga: 0.1972 0.5000 0.7860
Ga: 0.3047 0.0000 0.5780
Ga: 0.3047 0.5000 0.0780
Ga: 0.6953 0.0000 0.5780
Ga: 0.6953 0.5000 0.0780
Ga: 0.8028 0.0000 0.2860
Ga: 0.8028 0.5000 0.7860
Ni: 0.0000 0.0000 0.7179
Ni: 0.0000 0.5000 0.2179
Ni: 0.5000 0.0000 0.1443
Ni: 0.5000 0.5000 0.6443

Summary:
total energy = -4.71 eV/atom
total moment = 0.0 μB/f.u.


[7]
# Er2TmGa4Ni

Er2TmGa4Ni after structural relaxation (PBE-GGA, the Open Quantum Materials Database).

Lattice parameters (Å, degrees): 6.6119 4.3810 11.2331 90.00 90.00 90.00
Positions (direct):
Er: 0.0000 0.0000 0.0000
Er: 0.0000 0.5000 0.5000
Er: 0.5000 0.0000 0.1405
Er: 0.5000 0.5000 0.6405
Tm: 0.5000 0.0000 0.8570
Tm: 0.5000 0.5000 0.3570
Ga: 0.1826 0.0000 0.6873
Ga: 0.1826 0.5000 0.1873
Ga: 0.2836 0.0000 0.4573
Ga: 0.2836 0.5000 0.9573
Ga: 0.7164 0.0000 0.4573
Ga: 0.7164 0.5000 0.9573
Ga: 0.8174 0.0000 0.6873
Ga: 0.8174 0.5000 0.1873
Ni: 0.0000 0.0000 0.2779
Ni: 0.0000 0.5000 0.7779

Summary:
total energy = -4.35 eV/atom
total moment = 0.0 μB/f.u.


[8]
# ErTmGa4Ni2

ErTmGa4Ni2 after structural relaxation (PBE-GGA, the Open Quantum Materials Database).

Lattice parameters (Å, degrees): 6.6794 4.0962 9.9524 90.00 90.00 90.00
Positions (direct):
Er: 0.0000 0.0000 0.0000
Er: 0.0000 0.5000 0.5000
Tm: 0.5000 0.0000 0.1432
Tm: 0.5000 0.5000 0.6432
Ga: 0.1971 0.0000 0.7146
Ga: 0.1971 0.5000 0.2146
Ga: 0.3035 0.0000 0.4283
Ga: 0.3035 0.5000 0.9283
Ga: 0.6965 0.0000 0.4283
Ga: 0.6965 0.5000 0.9283
Ga: 0.8029 0.0000 0.7146
Ga: 0.8029 0.5000 0.2146
Ni: 0.0000 0.0000 0.2823
Ni: 0.0000 0.5000 0.7823
Ni: 0.5000 0.0000 0.8609
Ni: 0.5000 0.5000 0.3609

Summary:
total energy = -4.69 eV/atom
total moment = 0.0 μB/f.u.


[9]
# YErGa4Ni2

YErGa4Ni2 after structural relaxation (PBE-GGA, the Open Quantum Materials Database).

Lattice parameters (Å, degrees): 6.6813 4.1119 10.0596 90.00 90.00 90.00
Positions (direct):
Y: 0.0000 0.0000 0.0000
Y: 0.0000 0.5000 0.5000
Er: 0.5000 0.0000 0.8561
Er: 0.5000 0.5000 0.3561
Ga: 0.1969 0.0000 0.2848
Ga: 0.1969 0.5000 0.7848
Ga: 0.3047 0.0000 0.5722
Ga: 0.3047 0.5000 0.0722
Ga: 0.6953 0.0000 0.5722
Ga: 0.6953 0.5000 0.0722
Ga: 0.8031 0.0000 0.2848
Ga: 0.8031 0.5000 0.7848
Ni: 0.0000 0.0000 0.7172
Ni: 0.0000 0.5000 0.2172
Ni: 0.5000 0.0000 0.1390
Ni: 0.5000 0.5000 0.6390

Summary:
total energy = -4.94 eV/atom
total moment = 0.0 μB/f.u.


[10]
# ErZnGaNi

ErZnGaNi after structural relaxation (PBE-GGA, the Open Quantum Materials Database).

Lattice parameters (Å, degrees): 4.0815 9.4896 6.9632 90.00 90.00 90.00
Positions (direct):
Er: 0.0000 0.0676 0.0000
Er: 0.0000 0.9324 0.5000
Er: 0.5000 0.4324 0.5000
Er: 0.5000 0.5676 0.0000
Zn: 0.0000 0.3563 0.1904
Zn: 0.0000 0.6437 0.6904
Zn: 0.5000 0.1437 0.6904
Zn: 0.5000 0.8563 0.1904
Ga: 0.0000 0.3526 0.7994
Ga: 0.0000 0.6474 0.2994
Ga: 0.5000 0.1474 0.2994
Ga: 0.5000 0.8526 0.7994
Ni: 0.0000 0.2185 0.4935
Ni: 0.0000 0.7815 0.9935
Ni: 0.5000 0.2815 0.9935
Ni: 0.5000 0.7185 0.4935

Summary:
E above lowest polymorph = 0 meV per atom
total moment = 0.0 μB/f.u.


[11]
# ErZnGaNi

ErZnGaNi after structural relaxation (PBE-GGA, the Open Quantum Materials Database).

Lattice parameters (Å, degrees): 6.9502 4.0800 9.5312 90.00 90.00 90.00
Positions (direct):
Er: 0.0000 0.0000 0.0000
Er: 0.0000 0.5000 0.5000
Er: 0.5000 0.0000 0.1380
Er: 0.5000 0.5000 0.6380
Zn: 0.1931 0.0000 0.7120
Zn: 0.1931 0.5000 0.2120
Zn: 0.8069 0.0000 0.7120
Zn: 0.8069 0.5000 0.2120
Ga: 0.3045 0.0000 0.4232
Ga: 0.3045 0.5000 0.9232
Ga: 0.6955 0.0000 0.4232
Ga: 0.6955 0.5000 0.9232
Ni: 0.0000 0.0000 0.2887
Ni: 0.0000 0.5000 0.7887
Ni: 0.5000 0.0000 0.8563
Ni: 0.5000 0.5000 0.3563

Summary:
E above lowest polymorph = 4 meV per atom
total moment = 0.0 μB/f.u.


[12]
# ErZnGaNi

ErZnGaNi after structural relaxation (PBE-GGA, the Open Quantum Materials Database).

Lattice parameters (Å, degrees): 9.4868 4.0793 6.9637 90.00 90.97 90.00
Positions (direct):
Er: 0.0688 0.0000 0.2470
Er: 0.4312 0.5000 0.7530
Er: 0.5688 0.5000 0.2470
Er: 0.9312 0.0000 0.7530
Zn: 0.1476 0.5000 0.9468
Zn: 0.3524 0.0000 0.0532
Zn: 0.6476 0.0000 0.9468
Zn: 0.8524 0.5000 0.0532
Ga: 0.1413 0.5000 0.5574
Ga: 0.3587 0.0000 0.4426
Ga: 0.6413 0.0000 0.5574
Ga: 0.8587 0.5000 0.4426
Ni: 0.2173 0.0000 0.7389
Ni: 0.2827 0.5000 0.2611
Ni: 0.7173 0.5000 0.7389
Ni: 0.7827 0.0000 0.2611

Summary:
E above lowest polymorph = 7 meV per atom
total moment = 0.0 μB/f.u.


[13]
# ErZrGa2Ni4

ErZrGa2Ni4 after structural relaxation (PBE-GGA, the Open Quantum Materials Database).

Lattice parameters (Å, degrees): 4.1309 4.1309 8.3681 90.00 90.00 120.00
Positions (direct):
Er: 0.0000 0.0000 0.0000
Zr: 0.3333 0.6667 0.5000
Ga: 0.6667 0.3333 0.2587
Ga: 0.6667 0.3333 0.7413
Ni: 0.0000 0.0000 0.3402
Ni: 0.0000 0.0000 0.6598
Ni: 0.3333 0.6667 0.1828
Ni: 0.3333 0.6667 0.8172

Summary:
total energy = -5.76 eV/atom
total moment = 0.0 μB/f.u.


[14]
# ErZrGa2Ni4

ErZrGa2Ni4 after structural relaxation (PBE-GGA, the Open Quantum Materials Database).

Lattice parameters (Å, degrees): 4.1306 4.1306 8.3676 90.00 90.00 120.00
Positions (direct):
Er: 0.0000 0.0000 0.0000
Zr: 0.3333 0.6667 0.5000
Ga: 0.6667 0.3333 0.2587
Ga: 0.6667 0.3333 0.7413
Ni: 0.0000 0.0000 0.3402
Ni: 0.0000 0.0000 0.6598
Ni: 0.3333 0.6667 0.1828
Ni: 0.3333 0.6667 0.8172

Summary:
total energy = -5.76 eV/atom
total moment = 0.0 μB/f.u.


[15]
# Er2Ga2O5

Er2Ga2O5 after structural relaxation (PBE-GGA, the Open Quantum Materials Database).

Lattice parameters (Å, degrees): 3.9004 3.9004 8.5350 90.00 90.00 90.00
Positions (direct):
Er: 0.0000 0.0000 0.2448
Er: 0.0000 0.0000 0.7552
Ga: 0.5000 0.5000 0.0000
Ga: 0.5000 0.5000 0.5000
O: 0.0000 0.0000 0.5000
O: 0.0000 0.5000 0.1455
O: 0.0000 0.5000 0.8545
O: 0.5000 0.0000 0.1455
O: 0.5000 0.0000 0.8545

Summary:
E above lowest polymorph = 99 meV per atom
total moment = 0.0 μB/f.u.


[16]
# Er2Ga2O5

Er2Ga2O5 after structural relaxation (PBE-GGA, the Open Quantum Materials Database).

Lattice parameters (Å, degrees): 3.8688 3.8688 6.7349 90.00 90.00 90.00
Positions (direct):
Er: 0.0000 0.0000 0.0000
Er: 0.0000 0.0000 0.5000
Ga: 0.5000 0.5000 0.2037
Ga: 0.5000 0.5000 0.7963
O: 0.0000 0.5000 0.2354
O: 0.0000 0.5000 0.7646
O: 0.5000 0.0000 0.2354
O: 0.5000 0.0000 0.7646
O: 0.5000 0.5000 0.5000

Summary:
E above lowest polymorph = 0 meV per atom
total moment = 0.0 μB/f.u.


[17]
# ErGaPO

ErGaPO after structural relaxation (PBE-GGA, the Open Quantum Materials Database).

Lattice parameters (Å, degrees): 3.9287 6.7739 5.6699 90.00 90.00 90.00
Positions (direct):
Er: 0.0000 0.1879 0.0000
Er: 0.0000 0.8121 0.5000
Ga: 0.5000 0.3835 0.5994
Ga: 0.5000 0.6165 0.0994
P: 0.0000 0.2166 0.4881
P: 0.0000 0.7834 0.9881
O: 0.5000 0.3378 0.9711
O: 0.5000 0.6622 0.4711

Summary:
E above lowest polymorph = 196 meV per atom
total moment = 0.0 μB/f.u.


[18]
# ErGaPO

ErGaPO after structural relaxation (PBE-GGA, the Open Quantum Materials Database).

Lattice parameters (Å, degrees): 4.0981 4.0981 8.0763 90.00 90.00 90.00
Positions (direct):
Er: 0.2500 0.2500 0.1175
Er: 0.7500 0.7500 0.8825
Ga: 0.2500 0.7500 0.5000
Ga: 0.7500 0.2500 0.5000
P: 0.2500 0.2500 0.6710
P: 0.7500 0.7500 0.3290
O: 0.2500 0.7500 0.0000
O: 0.7500 0.2500 0.0000

Summary:
E above lowest polymorph = 0 meV per atom
total moment = 0.0 μB/f.u.


[19]
# ErGaPO

ErGaPO after structural relaxation (PBE-GGA, the Open Quantum Materials Database).

Lattice parameters (Å, degrees): 4.0199 5.4448 6.2003 90.00 90.00 90.00
Positions (direct):
Er: 0.0000 0.2326 0.0000
Er: 0.0000 0.7674 0.5000
Ga: 0.5000 0.3324 0.3903
Ga: 0.5000 0.6676 0.8903
P: 0.5000 0.0839 0.7092
P: 0.5000 0.9161 0.2092
O: 0.0000 0.4206 0.3164
O: 0.0000 0.5794 0.8164

Summary:
E above lowest polymorph = 185 meV per atom
total moment = 0.0 μB/f.u.


[20]
# ErGaPO

ErGaPO after structural relaxation (PBE-GGA, the Open Quantum Materials Database).

Lattice parameters (Å, degrees): 4.2885 4.2885 9.0136 90.00 90.00 90.00
Positions (direct):
Er: 0.2500 0.7500 0.0000
Er: 0.7500 0.2500 0.0000
Ga: 0.2500 0.2500 0.4459
Ga: 0.7500 0.7500 0.5541
P: 0.2500 0.2500 0.1806
P: 0.7500 0.7500 0.8194
O: 0.2500 0.7500 0.5000
O: 0.7500 0.2500 0.5000

Summary:
E above lowest polymorph = 863 meV per atom
total moment = 0.2 μB/f.u.